#a
Material: CsSbIN2
Method: DFT, GGA-PBE
State: optimized geometry

```
CsSbIN2
1.0
4.5722 0.0000 0.0000
0.0000 4.5722 0.0000
0.0000 0.0000 7.1104
N Sb Cs I
2 1 1 1
direct
0.0000 0.5000 0.0000 N
0.5000 0.0000 0.0000 N
0.5000 0.5000 0.5000 Sb
0.0000 0.0000 0.0000 Cs
0.0000 0.0000 0.5000 I
```

- SG: P4/mmm
- V: 148.6 Å³ per cell

=====

#b
Material: CsSbIN2
Method: DFT, GGA-PBE
State: optimized geometry

```
CsSbIN2
1.0
-0.6096 -4.6643 0.0109
3.1820 -0.4078 3.4403
-4.6456 0.6173 4.3699
N I Sb Cs
2 1 1 1
direct
0.5000 0.0000 0.0000 N
0.0000 0.5000 0.0000 N
0.0000 0.0000 0.5000 I
0.0000 0.0000 0.0000 Sb
0.5000 0.5000 0.5000 Cs
```

- SG: P4/mmm
- V: 141.8 Å³ per cell

=====

Of them, the most stable is #b and the least stable is #a.

=====

#a
Material: CsSb2IN
Method: DFT, GGA-PBE
State: optimized geometry

```
CsSb2IN
1.0
6.4630 0.0000 0.0000
0.0000 6.4630 0.0000
0.0000 0.0000 6.6419
I Sb Cs N
1 2 1 1
direct
0.0000 0.0000 0.5000 I
0.5000 0.0000 0.0000 Sb
0.0000 0.5000 0.0000 Sb
0.0000 0.0000 0.0000 Cs
0.5000 0.5000 0.5000 N
```

- SG: P4/mmm
- V: 277.4 Å³ per cell

=====

#b
Material: CsSb2IN
Method: DFT, GGA-PBE
State: optimized geometry

```
CsSb2IN
1.0
-2.7873 3.8507 0.6838
-0.7157 -1.3277 4.5595
7.3271 4.8488 2.5620
Sb Cs N I
2 1 1 1
direct
0.5000 0.0000 0.0000 Sb
0.0000 0.5000 0.0000 Sb
0.5000 0.5000 0.5000 Cs
0.0000 0.0000 0.0000 N
0.0000 0.0000 0.5000 I
```

- SG: P4/mmm
- V: 211.1 Å³ per cell

=====

Of them, the most stable is #b and the least stable is #a.

=====

#a
Material: CsScIN2
Method: DFT, GGA-PBE
State: optimized geometry

```
CsScIN2
1.0
4.4788 0.0000 0.0000
0.0000 4.4788 0.0000
0.0000 0.0000 6.4779
Cs N I Sc
1 2 1 1
direct
0.0000 0.0000 0.0000 Cs
0.0000 0.5000 0.0000 N
0.5000 0.0000 0.0000 N
0.0000 0.0000 0.5000 I
0.5000 0.5000 0.5000 Sc
```

- SG: P4/mmm
- V: 129.9 Å³ per cell

=====

#b
Material: CsScIN2
Method: DFT, GGA-PBE
State: optimized geometry

```
CsScIN2
1.0
4.7225 0.0000 0.0000
0.0000 4.7225 0.0000
0.0000 0.0000 5.8502
Sc N Cs I
1 2 1 1
direct
0.0000 0.0000 0.0000 Sc
0.5000 0.0000 0.0000 N
0.0000 0.5000 0.0000 N
0.5000 0.5000 0.5000 Cs
0.0000 0.0000 0.5000 I
```

- SG: P4/mmm
- V: 130.5 Å³ per cell

=====

Of them, the most stable is #b and the least stable is #a.

=====

#a
Material: CsScI2N
Method: DFT, GGA-PBE
State: optimized geometry

```
CsScI2N
1.0
-0.0328 5.5872 -2.8940
-0.5249 -2.8864 -5.5665
-4.1267 0.1398 0.3166
Cs I N Sc
1 2 1 1
direct
0.5000 0.5000 0.5000 Cs
0.0000 0.5000 0.0000 I
0.5000 0.0000 0.0000 I
0.0000 0.0000 0.5000 N
0.0000 0.0000 0.0000 Sc
```

- SG: P4/mmm
- V: 164.0 Å³ per cell

=====

#b
Material: CsScI2N
Method: DFT, GGA-PBE
State: optimized geometry

```
CsScI2N
1.0
6.7630 0.0000 0.0000
0.0000 6.7630 0.0000
0.0000 0.0000 4.4460
N Sc I Cs
1 1 2 1
direct
0.0000 0.0000 0.5000 N
0.5000 0.5000 0.5000 Sc
0.5000 0.0000 0.0000 I
0.0000 0.5000 0.0000 I
0.0000 0.0000 0.0000 Cs
```

- SG: P4/mmm
- V: 203.4 Å³ per cell

=====

Of them, the most stable is #a and the least stable is #b.

=====

#a
Material: CsSrIN2
Method: DFT, GGA-PBE
State: optimized geometry

```
CsSrIN2
1.0
4.7750 0.0000 0.0000
0.0000 4.7750 0.0000
0.0000 0.0000 6.6962
N I Sr Cs
2 1 1 1
direct
0.0000 0.5000 0.0000 N
0.5000 0.0000 0.0000 N
0.0000 0.0000 0.5000 I
0.5000 0.5000 0.5000 Sr
0.0000 0.0000 0.0000 Cs
```

- SG: P4/mmm
- V: 152.7 Å³ per cell

=====

#b
Material: CsSrIN2
Method: DFT, GGA-PBE
State: optimized geometry

```
CsSrIN2
1.0
-5.1276 1.4342 0.2052
-0.9757 -2.8606 -4.3882
-1.3432 -5.3434 3.7821
N Cs I Sr
2 1 1 1
direct
0.0000 0.5000 0.0000 N
0.5000 0.0000 0.0000 N
0.5000 0.5000 0.5000 Cs
0.0000 0.0000 0.5000 I
0.0000 0.0000 0.0000 Sr
```

- SG: P4/mmm
- V: 189.7 Å³ per cell

=====

Of them, the most stable is #b and the least stable is #a.

=====

#a
Material: CsTaI2N
Method: DFT, GGA-PBE
State: optimized geometry

```
CsTaI2N
1.0
6.1245 0.0000 0.0000
0.0000 6.1245 0.0000
0.0000 0.0000 4.0143
Ta N Cs I
1 1 1 2
direct
0.0000 0.0000 0.0000 Ta
0.0000 0.0000 0.5000 N
0.5000 0.5000 0.5000 Cs
0.0000 0.5000 0.0000 I
0.5000 0.0000 0.0000 I
```

- SG: P4/mmm
- V: 150.6 Å³ per cell

=====

#b
Material: CsTaI2N
Method: DFT, GGA-PBE
State: optimized geometry

```
CsTaI2N
1.0
6.8155 0.0000 0.0000
0.0000 6.8155 0.0000
0.0000 0.0000 4.6069
I Cs N Ta
2 1 1 1
direct
0.5000 0.0000 0.0000 I
0.0000 0.5000 0.0000 I
0.0000 0.0000 0.0000 Cs
0.0000 0.0000 0.5000 N
0.5000 0.5000 0.5000 Ta
```

- SG: P4/mmm
- V: 214.0 Å³ per cell

=====

Of them, the most stable is #a and the least stable is #b.

=====

#a
Material: CsTaIN2
Method: DFT, GGA-PBE
State: optimized geometry

```
CsTaIN2
1.0
-0.7312 0.1621 -4.3374
-0.0636 -4.3984 -0.1536
-5.6585 0.0484 0.9558
N Ta I Cs
2 1 1 1
direct
0.5000 0.0000 0.0000 N
0.0000 0.5000 0.0000 N
0.0000 0.0000 0.0000 Ta
0.0000 0.0000 0.5000 I
0.5000 0.5000 0.5000 Cs
```

- SG: P4/mmm
- V: 111.2 Å³ per cell

=====

#b
Material: CsTaIN2
Method: DFT, GGA-PBE
State: optimized geometry

```
CsTaIN2
1.0
-2.5043 3.4046 -1.0976
0.7222 -0.8311 -4.2256
-5.1571 -3.8344 -0.1272
I Cs Ta N
1 1 1 2
direct
0.0000 0.0000 0.5000 I
0.0000 0.0000 0.0000 Cs
0.5000 0.5000 0.5000 Ta
0.5000 0.0000 0.0000 N
0.0000 0.5000 0.0000 N
```

- SG: P4/mmm
- V: 122.6 Å³ per cell

=====

Of them, the most stable is #a and the least stable is #b.

=====

#a
Material: CsTeIN2
Method: DFT, GGA-PBE
State: optimized geometry

```
CsTeIN2
1.0
4.9807 0.0000 0.0000
0.0000 4.9807 0.0000
0.0000 0.0000 6.1046
Te Cs N I
1 1 2 1
direct
0.0000 0.0000 0.5000 Te
0.5000 0.5000 0.5000 Cs
0.0000 0.5000 0.0000 N
0.5000 0.0000 0.0000 N
0.0000 0.0000 0.0000 I
```

- SG: P4/mmm
- V: 151.4 Å³ per cell

=====

#b
Material: CsTeIN2
Method: DFT, GGA-PBE
State: optimized geometry

```
CsTeIN2
1.0
4.9906 0.0000 0.0000
0.0000 4.9906 0.0000
0.0000 0.0000 7.6576
I N Cs Te
1 2 1 1
direct
0.0000 0.0000 0.5000 I
0.5000 0.0000 0.0000 N
0.0000 0.5000 0.0000 N
0.0000 0.0000 0.0000 Cs
0.5000 0.5000 0.5000 Te
```

- SG: P4/mmm
- V: 190.7 Å³ per cell

=====

Of them, the most stable is #a and the least stable is #b.

=====

#a
Material: CsTiI2N
Method: DFT, GGA-PBE
State: optimized geometry

```
CsTiI2N
1.0
-1.9376 3.0304 5.0212
3.7335 -3.4410 3.5173
2.8433 2.6015 -0.4729
N I Ti Cs
1 2 1 1
direct
0.0000 0.0000 0.5000 N
0.0000 0.5000 0.0000 I
0.5000 0.0000 0.0000 I
0.0000 0.0000 0.0000 Ti
0.5000 0.5000 0.5000 Cs
```

- SG: P4/mmm
- V: 148.1 Å³ per cell

=====

#b
Material: CsTiI2N
Method: DFT, GGA-PBE
State: optimized geometry

```
CsTiI2N
1.0
-5.2374 4.0339 1.8129
-2.6784 -0.6571 -6.2756
-2.3898 -3.7370 1.4113
N Cs I Ti
1 1 2 1
direct
0.0000 0.0000 0.5000 N
0.0000 0.0000 0.0000 Cs
0.5000 0.0000 0.0000 I
0.0000 0.5000 0.0000 I
0.5000 0.5000 0.5000 Ti
```

- SG: P4/mmm
- V: 218.7 Å³ per cell

=====

Of them, the most stable is #a and the least stable is #b.

=====

#a
Material: CsTiIN2
Method: DFT, GGA-PBE
State: optimized geometry

```
CsTiIN2
1.0
-4.3241 0.2556 0.8158
0.4642 -2.8302 3.3471
0.9332 4.3800 3.5741
N I Ti Cs
2 1 1 1
direct
0.5000 0.0000 0.0000 N
0.0000 0.5000 0.0000 N
0.0000 0.0000 0.5000 I
0.0000 0.0000 0.0000 Ti
0.5000 0.5000 0.5000 Cs
```

- SG: P4/mmm
- V: 111.3 Å³ per cell

=====

#b
Material: CsTiIN2
Method: DFT, GGA-PBE
State: optimized geometry

```
CsTiIN2
1.0
-2.8994 -1.8930 -2.7899
0.1039 -3.7281 2.4216
-5.0097 2.2503 3.6793
N Cs Ti I
2 1 1 1
direct
0.0000 0.5000 0.0000 N
0.5000 0.0000 0.0000 N
0.0000 0.0000 0.0000 Cs
0.5000 0.5000 0.5000 Ti
0.0000 0.0000 0.5000 I
```

- SG: P4/mmm
- V: 130.7 Å³ per cell

=====

Of them, the most stable is #a and the least stable is #b.

=====

#a
Material: CsZnI2N
Method: DFT, GGA-PBE
State: optimized geometry

```
CsZnI2N
1.0
6.4473 0.0000 0.0000
0.0000 6.4473 0.0000
0.0000 0.0000 3.9228
I N Cs Zn
2 1 1 1
direct
0.0000 0.5000 0.0000 I
0.5000 0.0000 0.0000 I
0.0000 0.0000 0.5000 N
0.5000 0.5000 0.5000 Cs
0.0000 0.0000 0.0000 Zn
```

- SG: P4/mmm
- V: 163.1 Å³ per cell

=====

#b
Material: CsZnI2N
Method: DFT, GGA-PBE
State: optimized geometry

```
CsZnI2N
1.0
-2.2793 -5.3087 -4.2126
5.9581 0.5480 -3.9145
2.2014 -3.2436 2.8965
I Zn N Cs
2 1 1 1
direct
0.0000 0.5000 0.0000 I
0.5000 0.0000 0.0000 I
0.5000 0.5000 0.5000 Zn
0.0000 0.0000 0.5000 N
0.0000 0.0000 0.0000 Cs
```

- SG: P4/mmm
- V: 249.2 Å³ per cell

=====

Of them, the most stable is #a and the least stable is #b.

=====

#a
Material: CsZnIN2
Method: DFT, GGA-PBE
State: optimized geometry

```
CsZnIN2
1.0
4.6078 0.0000 0.0000
0.0000 4.6078 0.0000
0.0000 0.0000 5.4020
Cs N Zn I
1 2 1 1
direct
0.5000 0.5000 0.5000 Cs
0.0000 0.5000 0.0000 N
0.5000 0.0000 0.0000 N
0.0000 0.0000 0.0000 Zn
0.0000 0.0000 0.5000 I
```

- SG: P4/mmm
- V: 114.7 Å³ per cell

=====

#b
Material: CsZnIN2
Method: DFT, GGA-PBE
State: optimized geometry

```
CsZnIN2
1.0
4.5491 0.0000 0.0000
0.0000 4.5491 0.0000
0.0000 0.0000 7.8938
N Cs Zn I
2 1 1 1
direct
0.0000 0.5000 0.0000 N
0.5000 0.0000 0.0000 N
0.0000 0.0000 0.0000 Cs
0.5000 0.5000 0.5000 Zn
0.0000 0.0000 0.5000 I
```

- SG: P4/mmm
- V: 163.4 Å³ per cell

=====

Of them, the most stable is #a and the least stable is #b.

=====

#a
Material: CsZrI2N
Method: DFT, GGA-PBE
State: optimized geometry

```
CsZrI2N
1.0
6.2534 0.0000 0.0000
0.0000 6.2534 0.0000
0.0000 0.0000 4.1306
I Zr N Cs
2 1 1 1
direct
0.5000 0.0000 0.0000 I
0.0000 0.5000 0.0000 I
0.0000 0.0000 0.0000 Zr
0.0000 0.0000 0.5000 N
0.5000 0.5000 0.5000 Cs
```

- SG: P4/mmm
- V: 161.5 Å³ per cell

=====

#b
Material: CsZrI2N
Method: DFT, GGA-PBE
State: optimized geometry

```
CsZrI2N
1.0
6.7532 0.0000 0.0000
0.0000 6.7532 0.0000
0.0000 0.0000 4.5670
I Zr Cs N
2 1 1 1
direct
0.0000 0.5000 0.0000 I
0.5000 0.0000 0.0000 I
0.5000 0.5000 0.5000 Zr
0.0000 0.0000 0.0000 Cs
0.0000 0.0000 0.5000 N
```

- SG: P4/mmm
- V: 208.3 Å³ per cell

=====

Of them, the most stable is #a and the least stable is #b.

=====

#a
Material: CsNaI
Method: DFT, GGA-PBE
State: optimized geometry

```
CsNaI
1.0
-5.1762 -1.5087 1.4147
1.6946 -5.4903 0.3454
0.2784 3.3954 4.6398
Na I Cs
1 1 1
direct
0.1663 0.0000 0.0000 Na
0.1675 0.3333 0.6667 I
0.6662 0.6667 0.3333 Cs
```

- SG: P3m1
- V: 160.0 Å³ per cell

=====

#b
Material: CsNaI
Method: DFT, GGA-PBE
State: optimized geometry

```
CsNaI
1.0
-4.0713 1.3917 -2.3922
1.1816 -3.1571 -3.8486
-7.1824 -7.8852 7.6557
Cs I Na
2 2 2
direct
0.1835 0.1506 0.1866 Cs
0.1834 0.4722 0.8222 Cs
0.6837 0.7137 0.3127 I
0.6833 0.0362 0.9505 I
0.1880 0.8115 0.5122 Na
0.6877 0.3139 0.5172 Na
```

- SG: P1
- V: 324.4 Å³ per cell

=====

#c
Material: CsNaI
Method: DFT, GGA-PBE
State: optimized geometry

```
CsNaI
1.0
5.3010 -0.0008 0.0006
-2.6302 8.4109 0.0022
-0.0007 -0.6960 9.4762
Cs Na I
2 2 2
direct
0.0508 0.6836 0.8993 Cs
0.2007 0.9868 0.4302 Cs
0.4044 0.3936 0.1548 Na
0.7705 0.1277 0.0226 Na
0.6015 0.7863 0.1835 I
0.6706 0.9258 0.7152 I
```

- SG: P1
- V: 422.5 Å³ per cell

=====

Of them, the most stable is #b and the least stable is #a.